No. 1
LiSiAgAu: optimized geometry, GGA-PBE.

Properties
**Raw total energy**: -3.584 eV/atom

Geometry as extended XYZ:
```
4
Lattice="0.0000 3.1402 3.1402 3.1402 0.0000 3.1402 3.1402 3.1402 0.0000" Properties=species:S:1:pos:R:3 pbc="T T T"
Li 0.0000 0.0000 0.0000
Si 3.1402 3.1402 3.1402
Ag 1.5701 1.5701 1.5701
Au 4.7104 4.7104 4.7104
```

=====

No. 2
K2ZrBAu: optimized geometry, GGA-PBE.

Properties
**Raw total energy**: -3.110 eV/atom

Geometry as extended XYZ:
```
5
Lattice="6.6183 0.0000 0.0000 0.0000 6.6183 0.0000 0.0000 0.0000 4.0362" Properties=species:S:1:pos:R:3 pbc="T T T"
K 0.0000 3.3091 0.0000
K 3.3091 0.0000 0.0000
Zr 0.0000 0.0000 2.0181
B 3.3091 3.3091 2.0181
Au 3.3091 3.3091 0.0000
```

=====

No. 3
ScIrNO2: optimized geometry, GGA-PBE.

Properties
**Raw total energy**: -6.524 eV/atom

Geometry as extended XYZ:
```
5
Lattice="3.9384 0.0000 0.0000 0.0000 3.9384 0.0000 0.0000 0.0000 4.2494" Properties=species:S:1:pos:R:3 pbc="T T T"
Sc 0.0000 0.0000 0.0000
Ir 1.9692 1.9692 2.1247
N 0.0000 0.0000 2.1247
O 0.0000 1.9692 0.0000
O 1.9692 0.0000 0.0000
```

=====

No. 4
SrEuSb2: optimized geometry, GGA-PBE.

Properties
**Energy relative to the lowest polymorph listed for this composition**: 60 meV per atom

Geometry as extended XYZ:
```
4
Lattice="0.0000 4.0095 4.0095 4.0095 0.0000 4.0095 4.0095 4.0095 0.0000" Properties=species:S:1:pos:R:3 pbc="T T T"
Sr 0.0000 0.0000 0.0000
Eu 4.0095 4.0095 4.0095
Sb 2.0048 2.0048 2.0048
Sb 6.0143 6.0143 6.0143
```

=====

No. 5
BeTeAsI2: optimized geometry, GGA-PBE.

Properties
**Energy relative to the lowest polymorph listed for this composition**: 280 meV per atom

Geometry as extended XYZ:
```
5
Lattice="5.6100 0.0000 0.0000 0.0000 5.6100 0.0000 0.0000 0.0000 5.6440" Properties=species:S:1:pos:R:3 pbc="T T T"
Be 0.0000 0.0000 0.0000
Te 2.8050 2.8050 0.0000
As 2.8050 2.8050 2.8220
I 0.0000 2.8050 2.8220
I 2.8050 0.0000 2.8220
```

=====

No. 6
Y2OsPt: optimized geometry, GGA-PBE.

Properties
**Raw total energy**: -7.923 eV/atom

Geometry as extended XYZ:
```
4
Lattice="-1.8416 2.2549 4.9991 1.8416 -2.2549 4.9991 1.8416 2.2549 -4.9991" Properties=species:S:1:pos:R:3 pbc="T T T"
Y 0.0000 0.0000 0.0000
Y 0.0000 2.2549 2.2992
Os 1.8416 0.0000 2.4184
Pt 0.0000 0.0000 4.7887
```

=====

Number 1: DOS(E_F) 1.8 states/eV per cell, total magnetization 0.00 μB/atom. Number 2: DOS(E_F) 4.4 states/eV per cell, total magnetization 0.55 μB/atom. Number 3: DOS(E_F) 5.0 states/eV per cell, total magnetization 0.58 μB/atom. Number 4: DOS(E_F) 6.6 states/eV per cell, total magnetization 1.72 μB/atom. Number 5: DOS(E_F) 3.6 states/eV per cell, total magnetization 0.00 μB/atom. Number 6: DOS(E_F) 2.2 states/eV per cell, total magnetization 0.00 μB/atom.